The following is a DFT calculation (PBE-GGA) of crystalline TbDyErTh2 at its relaxed geometry.

Output
- ΔE_f: 410.2 meV/atom

Cell: 6.6417 15.5574 6.6432 Å, 90.00 90.00 90.00°
Closest atoms and distances in Å follow each position.
Space group Cmcm (No. 63)
Inequivalent atoms, fractional coordinates:
Tb  0.0000  0.2491  0.2500 [4 per cell]  4 Dy 3.65-3.66, 4 Er 3.65-3.66
Dy  0.0000  0.3481  0.7500 [4 per cell]  1 Er 3.06, 4 Th 3.33
Er  0.0000  0.1516  0.7500 [4 per cell]  1 Dy 3.06, 4 Th 3.33
Th  0.2495  0.0000  0.0000 [8 per cell]  4 Th 3.31-3.33, 2 Er 3.33, 2 Dy 3.33